1.
Density functional theory data (PBE+U) for crystalline LiZnMoF6 at its relaxed geometry.

The electronic total energy is -4.927 eV per atom. As for the total moment: 3.00 μB per formula unit.

The space group is P-31c (No. 163) and the conventional cell measures 5.4250, 5.4250 and 8.9416 Å, with angles of 90.00, 90.00 and 120.00 degrees. Symmetry generates all atoms from Li at (0.0000, 0.0000, 0.0000), Zn at (0.3333, 0.6667, 0.2500), Mo at (0.3333, 0.6667, 0.7500) and F at (0.0049, 0.3408, 0.1298).

2.
Density functional theory data (PBE+U) for crystalline Li2ZnMoF6 at its relaxed geometry.

The electronic total energy is -4.699 eV per atom. As for the total moment: 2.00 μB per formula unit.

The space group is P1 (No. 1) and the conventional cell measures 5.331, 5.348 and 5.653 Å, with angles of 63.00, 62.56 and 60.11 degrees. Symmetry generates all atoms from Li at (0.000, 0.000, 0.000), Li at (0.486, 0.514, 0.484), Zn at (0.706, 0.719, 0.864), Mo at (0.202, 0.216, 0.374), F at (0.103, 0.792, 0.659), F at (0.309, 0.644, 0.143), F at (0.439, 0.121, 0.658), F at (0.631, 0.922, 0.145), F at (0.777, 0.460, 0.646) and F at (0.904, 0.317, 0.143).